Entry 1:
Pr8Si3PtBr4 | PBE | relaxed

Lattice parameters (Å, degrees): 8.632 8.867 8.632 119.14 120.00 90.00
Sites, in units of the cell vectors:
Si (0.500, 0.500, 0.000)
Pr (0.738, 0.715, 0.477)
Pr (0.763, 0.288, 0.527)
Pr (0.237, 0.712, 0.473)
Br (0.000, 0.000, 0.500)
Pr (0.764, 0.288, 0.024)
Pr (0.262, 0.285, 0.523)
Br (0.500, 0.000, 0.000)
Pr (0.236, 0.712, 0.976)
Pt (0.000, 0.500, 0.000)
Br (0.500, 0.000, 0.500)
Pr (0.739, 0.712, 0.976)
Si (0.000, 0.500, 0.500)
Pr (0.261, 0.288, 0.024)
Br (0.000, 0.000, 0.000)
Si (0.500, 0.500, 0.500)

Properties
The formation energy (no corrections) is -1.092 eV/atom. As for the density of states at the Fermi level: 10.4 states/eV per cell.


Entry 2:
Pr8SiPt3Br4 | PBE | relaxed

Lattice parameters (Å, degrees): 8.573 9.103 8.573 118.11 120.00 90.00
Sites, in units of the cell vectors:
Pr (0.733, 0.699, 0.466)
Pr (0.763, 0.295, 0.525)
Pr (0.238, 0.705, 0.968)
Pt (0.000, 0.500, 0.500)
Pr (0.731, 0.705, 0.968)
Si (0.000, 0.500, 0.000)
Pt (0.500, 0.500, 0.500)
Pr (0.762, 0.295, 0.032)
Br (0.500, 0.000, 0.500)
Pt (0.500, 0.500, 0.000)
Pr (0.269, 0.295, 0.032)
Br (0.000, 0.000, 0.000)
Br (0.500, 0.000, 0.000)
Br (0.000, 0.000, 0.500)
Pr (0.237, 0.705, 0.475)
Pr (0.267, 0.301, 0.534)

Properties
The formation energy (no corrections) is -1.156 eV/atom. As for the density of states at the Fermi level: 11.8 states/eV per cell.


Entry 3:
PrSmPtBr | PBE | relaxed

Lattice parameters (Å, degrees): 4.190 4.190 8.231 90.00 104.76 120.00
Sites, in units of the cell vectors:
Pt (0.308, 0.552, 0.875)
Pr (0.505, 0.150, 0.671)
Br (0.964, 0.380, 0.359)
Sm (0.101, 0.949, 0.065)

Properties
The formation energy (no corrections) is -1.226 eV/atom. As for the density of states at the Fermi level: 3.3 states/eV per cell.


Entry 4:
Pr8TePt3Br4 | PBE | relaxed

Lattice parameters (Å, degrees): 8.710 9.040 8.709 118.78 120.01 90.00
Sites, in units of the cell vectors:
Br (0.000, 0.000, 0.000)
Pr (0.250, 0.717, 0.499)
Pr (0.268, 0.305, 0.537)
Pt (0.500, 0.500, 0.500)
Br (0.000, 0.000, 0.500)
Pr (0.750, 0.283, 0.501)
Pr (0.732, 0.695, 0.463)
Br (0.500, 0.000, 0.500)
Pt (0.000, 0.500, 0.500)
Pr (0.283, 0.283, 0.033)
Pt (0.500, 0.500, 0.000)
Br (0.500, 0.000, 0.000)
Pr (0.750, 0.283, 0.033)
Pr (0.250, 0.717, 0.967)
Te (0.000, 0.500, 0.000)
Pr (0.717, 0.717, 0.967)

Properties
The formation energy (no corrections) is -1.216 eV/atom. As for the density of states at the Fermi level: 15.4 states/eV per cell.


Entry 5:
PrThPtBr | PBE | relaxed

Lattice parameters (Å, degrees): 4.205 4.205 8.287 90.00 104.69 120.01
Sites, in units of the cell vectors:
Pr (0.500, 0.148, 0.663)
Th (0.101, 0.948, 0.064)
Pt (0.311, 0.553, 0.880)
Br (0.966, 0.381, 0.363)

Properties
The formation energy (no corrections) is -1.116 eV/atom. As for the density of states at the Fermi level: 2.2 states/eV per cell.


Entry 6:
Pr8ZnPt3Br4 | PBE | relaxed

Lattice parameters (Å, degrees): 8.523 9.175 8.521 117.69 120.01 90.00
Sites, in units of the cell vectors:
Br (0.500, 0.000, 0.000)
Zn (0.000, 0.500, 0.000)
Pr (0.761, 0.294, 0.521)
Pr (0.727, 0.706, 0.967)
Pt (0.500, 0.500, 0.500)
Pr (0.735, 0.704, 0.469)
Pr (0.239, 0.706, 0.479)
Pt (0.000, 0.500, 0.500)
Br (0.000, 0.000, 0.500)
Pr (0.761, 0.294, 0.033)
Pt (0.500, 0.500, 0.000)
Br (0.500, 0.000, 0.500)
Pr (0.273, 0.294, 0.033)
Br (0.000, 0.000, 0.000)
Pr (0.239, 0.706, 0.967)
Pr (0.265, 0.296, 0.531)

Properties
The formation energy (no corrections) is -1.080 eV/atom. As for the density of states at the Fermi level: 14.0 states/eV per cell.


Entry 7:
Pr2PuBr | PBE | relaxed

Lattice parameters (Å, degrees): 3.548 3.548 11.749 81.32 81.32 60.00
Sites, in units of the cell vectors:
Pu (0.000, 0.000, 0.000)
Pr (0.904, 0.904, 0.288)
Pr (0.096, 0.096, 0.712)
Br (0.500, 0.500, 0.500)

Properties
The formation energy (no corrections) is -0.237 eV/atom. As for the density of states at the Fermi level: 11.4 states/eV per cell. The relative energy among the computed polymorphs is 144 meV/atom.


Entry 8:
PrPuBr5 | PBE | relaxed

Lattice parameters (Å, degrees): 4.153 8.502 13.880 93.24 90.00 90.00
Sites, in units of the cell vectors:
Br (0.750, 0.146, 0.929)
Br (0.750, 0.316, 0.484)
Br (0.250, 0.360, 0.714)
Pr (0.750, 0.580, 0.657)
Br (0.250, 0.347, 0.128)
Pu (0.250, 0.912, 0.858)
Pr (0.250, 0.420, 0.343)
Pu (0.750, 0.088, 0.142)
Br (0.250, 0.068, 0.305)
Br (0.250, 0.684, 0.516)
Br (0.750, 0.640, 0.286)
Br (0.750, 0.932, 0.695)
Br (0.750, 0.653, 0.872)
Br (0.250, 0.854, 0.071)

Properties
The formation energy (no corrections) is -1.691 eV/atom. As for the density of states at the Fermi level: 24.3 states/eV per cell.


Entry 9:
PrPuBr | PBE | relaxed

Lattice parameters (Å, degrees): 3.441 10.999 5.839 57.87 90.00 99.00
Sites, in units of the cell vectors:
Pr (0.152, 0.303, 0.947)
Br (0.799, 0.597, 0.652)
Pr (0.848, 0.697, 0.053)
Pu (0.027, 0.055, 0.695)
Br (0.201, 0.403, 0.348)
Pu (0.973, 0.945, 0.305)

Properties
The formation energy (no corrections) is -0.396 eV/atom. As for the density of states at the Fermi level: 17.4 states/eV per cell.


Entry 10:
Pr2PuBr | PBE | relaxed

Lattice parameters (Å, degrees): 3.549 3.549 9.584 90.00 90.00 90.00
Sites, in units of the cell vectors:
Pr (0.000, 0.000, 0.242)
Pu (0.500, 0.500, 0.500)
Pr (0.000, 0.000, 0.758)
Br (0.500, 0.500, 0.000)

Properties
The formation energy (no corrections) is -0.381 eV/atom. As for the density of states at the Fermi level: 9.4 states/eV per cell. The relative energy among the computed polymorphs is 0 meV/atom.


Entry 11:
PrPu2Br6 | PBE | relaxed

Lattice parameters (Å, degrees): 4.111 8.300 10.314 109.27 90.00 104.34
Sites, in units of the cell vectors:
Pu (0.336, 0.673, 0.171)
Br (0.697, 0.394, 0.130)
Br (0.975, 0.949, 0.197)
Br (0.643, 0.287, 0.531)
Pu (0.664, 0.328, 0.829)
Br (0.357, 0.713, 0.469)
Pr (0.000, 0.000, 0.500)
Br (0.303, 0.606, 0.870)
Br (0.025, 0.051, 0.803)

Properties
The formation energy (no corrections) is -1.507 eV/atom. As for the density of states at the Fermi level: 21.3 states/eV per cell.


Entry 12:
PrPuBr6 | PBE | relaxed

Lattice parameters (Å, degrees): 7.203 7.203 7.928 62.97 62.97 60.00
Sites, in units of the cell vectors:
Br (0.406, 0.756, 0.749)
Pr (0.500, 0.500, 0.500)
Br (0.088, 0.406, 0.749)
Pu (0.000, 0.000, 0.000)
Br (0.756, 0.088, 0.750)
Br (0.244, 0.912, 0.250)
Br (0.912, 0.594, 0.251)
Br (0.594, 0.244, 0.251)

Properties
The formation energy (no corrections) is -1.646 eV/atom. As for the density of states at the Fermi level: 10.4 states/eV per cell.


Copy entry 2 word for word.
Pr8SiPt3Br4 | PBE | relaxed

Lattice parameters (Å, degrees): 8.573 9.103 8.573 118.11 120.00 90.00
Sites, in units of the cell vectors:
Pr (0.733, 0.699, 0.466)
Pr (0.763, 0.295, 0.525)
Pr (0.238, 0.705, 0.968)
Pt (0.000, 0.500, 0.500)
Pr (0.731, 0.705, 0.968)
Si (0.000, 0.500, 0.000)
Pt (0.500, 0.500, 0.500)
Pr (0.762, 0.295, 0.032)
Br (0.500, 0.000, 0.500)
Pt (0.500, 0.500, 0.000)
Pr (0.269, 0.295, 0.032)
Br (0.000, 0.000, 0.000)
Br (0.500, 0.000, 0.000)
Br (0.000, 0.000, 0.500)
Pr (0.237, 0.705, 0.475)
Pr (0.267, 0.301, 0.534)

Properties
The formation energy (no corrections) is -1.156 eV/atom. As for the density of states at the Fermi level: 11.8 states/eV per cell.